# 1
Density functional theory data (GGA-PBE) for MgBeZn2 after structural relaxation.

Lattice parameters (Å, degrees): 3.876 3.876 3.878 90.00 90.00 90.00
Space group P4/mmm (No. 123)
Asymmetric unit:
1 Mg 0.000 0.000 0.000 (multiplicity 1)
2 Be 0.500 0.500 0.000 (multiplicity 1)
3 Zn 0.000 0.500 0.500 (multiplicity 2)

DFT formation energy (eV/f.u.): 0.68

=====

# 2
Density functional theory data (GGA-PBE) for Be2InHg after structural relaxation.

Lattice parameters (Å, degrees): 3.1671 3.1671 23.3253 90.00 90.00 120.00
Space group R-3m (No. 166, hexagonal axes)
Asymmetric unit:
1 Be 0.0000 0.0000 0.2458 (multiplicity 6)
2 In 0.0000 0.0000 0.0000 (multiplicity 3)
3 Hg 0.0000 0.0000 0.5000 (multiplicity 3)

DFT formation energy (eV/f.u.): 2.19

=====

# 3
Density functional theory data (GGA-PBE) for Hg2IrBr after structural relaxation.

Lattice parameters (Å, degrees): 6.225 6.225 14.123 90.00 90.00 90.00
Space group I-42d (No. 122)
Asymmetric unit:
1 Hg 0.181 0.250 0.125 (multiplicity 8)
2 Ir 0.000 0.000 0.000 (multiplicity 4)
3 Br 0.000 0.000 0.500 (multiplicity 4)

Formation energy from raw total energies (meV/atom): 648

=====

# 4
Density functional theory data (GGA-PBE) for ErAg3F6 after structural relaxation.

Lattice parameters (Å, degrees): 10.4241 10.4241 12.2965 90.00 90.00 120.00
Space group R-3c (No. 167, hexagonal axes)
Asymmetric unit:
1 Er 0.0000 0.0000 0.0000 (multiplicity 6)
2 Ag 0.0000 0.2884 0.2500 (multiplicity 18)
3 F 0.0839 0.1997 0.4028 (multiplicity 36)

Formation energy from raw total energies (meV/atom): -2207

=====

# 5
Density functional theory data (GGA-PBE) for TaPPbCl2 after structural relaxation.

Lattice parameters (Å, degrees): 5.130 5.130 5.085 90.00 90.00 90.00
Space group P4/mmm (No. 123)
Asymmetric unit:
1 Ta 0.000 0.000 0.000 (multiplicity 1)
2 P 0.000 0.000 0.500 (multiplicity 1)
3 Pb 0.500 0.500 0.500 (multiplicity 1)
4 Cl 0.000 0.500 0.000 (multiplicity 2)

Formation energy from raw total energies (meV/atom): -139

=====

# 6
Density functional theory data (GGA-PBE) for SrLi3P after structural relaxation.

Lattice parameters (Å, degrees): 4.856 4.856 4.856 90.00 90.00 90.00
Space group Pm-3m (No. 221)
Asymmetric unit:
1 Sr 0.000 0.000 0.000 (multiplicity 1)
2 Li 0.000 0.500 0.500 (multiplicity 3)
3 P 0.500 0.500 0.500 (multiplicity 1)

DFT formation energy (eV/f.u.): -1.61

=====

# 7
Density functional theory data (GGA-PBE) for Ta3CdMo after structural relaxation.

Lattice parameters (Å, degrees): 4.853 4.853 4.853 90.00 90.00 90.00
Space group Pm-3m (No. 221)
Asymmetric unit:
1 Ta 0.000 0.000 0.500 (multiplicity 3)
2 Cd 0.500 0.500 0.500 (multiplicity 1)
3 Mo 0.000 0.000 0.000 (multiplicity 1)

DFT formation energy (eV/f.u.): 6.59

=====

# 8
Density functional theory data (GGA-PBE) for Ca2TaAs after structural relaxation.

Lattice parameters (Å, degrees): 4.743 4.743 4.290 90.00 90.00 90.00
Space group P4/mmm (No. 123)
Asymmetric unit:
1 Ca 0.000 0.500 0.000 (multiplicity 2)
2 Ta 0.000 0.000 0.500 (multiplicity 1)
3 As 0.500 0.500 0.500 (multiplicity 1)

DFT formation energy (eV/f.u.): 1.08

=====

# 9
Density functional theory data (GGA-PBE) for Pm2Sm4YHo2 after structural relaxation.

Lattice parameters (Å, degrees): 15.317 5.101 8.046 90.00 108.53 90.00
Space group C2/m (No. 12)
Asymmetric unit:
1 Pm 0.112 0.000 0.168 (multiplicity 4)
2 Sm 0.055 0.500 0.832 (multiplicity 4)
3 Sm 0.222 0.000 0.831 (multiplicity 4)
4 Y 0.000 0.000 0.500 (multiplicity 2)
5 Ho 0.167 0.500 0.500 (multiplicity 4)

DFT formation energy (eV/f.u.): 0.17

=====

# 10
Density functional theory data (GGA-PBE) for Li3TlHg after structural relaxation.

Lattice parameters (Å, degrees): 4.964 4.966 8.044 72.59 88.75 85.80
Space group P-1 (No. 2)
Asymmetric unit:
1 Li 0.249 0.050 0.404 (multiplicity 2)
2 Li 0.250 0.249 0.001 (multiplicity 2)
3 Li 0.250 0.449 0.603 (multiplicity 2)
4 Tl 0.249 0.648 0.206 (multiplicity 2)
5 Hg 0.251 0.858 0.785 (multiplicity 2)

DFT formation energy (eV/f.u.): -1.39

=====

# 11
Density functional theory data (GGA-PBE) for CsCo3Se after structural relaxation.

Lattice parameters (Å, degrees): 4.824 4.824 4.824 90.00 90.00 90.00
Space group Pm-3m (No. 221)
Asymmetric unit:
1 Cs 0.000 0.000 0.000 (multiplicity 1)
2 Co 0.000 0.000 0.500 (multiplicity 3)
3 Se 0.500 0.500 0.500 (multiplicity 1)

Formation energy from raw total energies (meV/atom): 2297

=====

# 12
Density functional theory data (GGA-PBE) for CaYGe after structural relaxation.

Lattice parameters (Å, degrees): 7.020 7.020 7.020 90.00 90.00 90.00
Space group F-43m (No. 216)
Asymmetric unit:
1 Ca 0.000 0.000 0.000 (multiplicity 4)
2 Y 0.000 0.000 0.500 (multiplicity 4)
3 Ge 0.250 0.250 0.250 (multiplicity 4)

DFT formation energy (eV/f.u.): -1.62

=====

# 13
Density functional theory data (GGA-PBE) for AlTlI2O after structural relaxation.

Lattice parameters (Å, degrees): 6.055 6.055 3.567 90.00 90.00 90.00
Space group P4/mmm (No. 123)
Asymmetric unit:
1 Al 0.000 0.000 0.000 (multiplicity 1)
2 Tl 0.500 0.500 0.500 (multiplicity 1)
3 I 0.000 0.500 0.000 (multiplicity 2)
4 O 0.000 0.000 0.500 (multiplicity 1)

Formation energy from raw total energies (meV/atom): -1001

=====

# 14
Density functional theory data (GGA-PBE) for Mg9CuSe2 after structural relaxation.

Lattice parameters (Å, degrees): 9.742 5.624 11.059 90.00 107.03 90.00
Space group C2/m (No. 12)
Asymmetric unit:
1 Mg 0.000 0.000 0.000 (multiplicity 2)
2 Mg 0.081 0.000 0.746 (multiplicity 4)
3 Mg 0.167 0.000 0.501 (multiplicity 4)
4 Mg 0.168 0.249 0.254 (multiplicity 8)
5 Cu 0.000 0.500 0.500 (multiplicity 2)
6 Se 0.112 0.500 0.835 (multiplicity 4)

Formation energy from raw total energies (meV/atom): 12

=====

# 15
Density functional theory data (GGA-PBE) for TiAl2Ni3 after structural relaxation.

Lattice parameters (Å, degrees): 2.864 2.864 9.208 90.00 90.00 90.00
Space group P4/mmm (No. 123)
Asymmetric unit:
1 Ti 0.000 0.000 0.000 (multiplicity 1)
2 Al 0.000 0.000 0.341 (multiplicity 2)
3 Ni 0.500 0.500 0.184 (multiplicity 2)
4 Ni 0.500 0.500 0.500 (multiplicity 1)

DFT formation energy (eV/f.u.): -3.40

=====

# 16
Density functional theory data (GGA-PBE) for YThTe after structural relaxation.

Lattice parameters (Å, degrees): 3.848 3.848 12.449 90.00 90.00 90.00
Space group I4mm (No. 107)
Asymmetric unit:
1 Y 0.000 0.000 0.000 (multiplicity 2)
2 Th 0.000 0.000 0.698 (multiplicity 2)
3 Te 0.000 0.000 0.359 (multiplicity 2)

Formation energy from raw total energies (meV/atom): -622

=====

# 17
Density functional theory data (GGA-PBE) for SmErTh2 after structural relaxation.

Lattice parameters (Å, degrees): 6.870 26.467 3.564 90.00 116.03 90.00
Space group C2/c (No. 15)
Asymmetric unit:
1 Sm 0.250 0.250 0.000 (multiplicity 4)
2 Er 0.000 0.155 0.250 (multiplicity 4)
3 Th 0.244 0.445 0.209 (multiplicity 8)

DFT formation energy (eV/f.u.): 2.10

=====

# 18
Density functional theory data (GGA-PBE) for Pm2Nd5Tm after structural relaxation.

Lattice parameters (Å, degrees): 6.302 28.507 6.635 90.00 108.83 90.00
Space group C2/c (No. 15)
Asymmetric unit:
1 Pm 0.000 0.000 0.000 (multiplicity 4)
2 Pm 0.250 0.250 0.000 (multiplicity 4)
3 Nd 0.000 0.096 0.250 (multiplicity 4)
4 Nd 0.201 0.391 0.090 (multiplicity 8)
5 Nd 0.238 0.309 0.495 (multiplicity 8)
6 Tm 0.000 0.489 0.750 (multiplicity 4)

DFT formation energy (eV/f.u.): 1.71

=====

# 19
Density functional theory data (GGA-PBE) for SmEuDyTm after structural relaxation.

Lattice parameters (Å, degrees): 8.132 8.132 8.132 90.00 90.00 90.00
Space group F-43m (No. 216)
Asymmetric unit:
1 Sm 0.000 0.000 0.000 (multiplicity 4)
2 Eu 0.250 0.250 0.750 (multiplicity 4)
3 Dy 0.000 0.000 0.500 (multiplicity 4)
4 Tm 0.250 0.250 0.250 (multiplicity 4)

DFT formation energy (eV/f.u.): 0.63

=====

# 20
Density functional theory data (GGA-PBE) for CePr2Tl4 after structural relaxation.

Lattice parameters (Å, degrees): 5.477 5.477 15.095 90.00 90.00 90.00
Space group I4/mmm (No. 139)
Asymmetric unit:
1 Ce 0.000 0.000 0.000 (multiplicity 2)
2 Pr 0.000 0.000 0.257 (multiplicity 4)
3 Tl 0.000 0.500 0.114 (multiplicity 8)

DFT formation energy (eV/f.u.): -1.37

=====

# 21
Density functional theory data (GGA-PBE) for Pr3NdSm3 after structural relaxation.

Lattice parameters (Å, degrees): 10.8183 10.8183 7.2981 90.00 90.00 120.00
Space group R3m (No. 160, hexagonal axes)
Asymmetric unit:
1 Pr 0.0411 0.5205 0.0000 (multiplicity 9)
2 Nd 0.0000 0.0000 0.5188 (multiplicity 3)
3 Sm 0.0891 0.5446 0.5400 (multiplicity 9)

DFT formation energy (eV/f.u.): 1.58

=====

# 22
Density functional theory data (GGA-PBE) for Nd2Ga3SiNi4 after structural relaxation.

Lattice parameters (Å, degrees): 4.141 4.141 9.807 90.00 90.00 90.00
Space group P-4m2 (No. 115)
Asymmetric unit:
1 Nd 0.000 0.500 0.247 (multiplicity 2)
2 Ga 0.000 0.000 0.000 (multiplicity 1)
3 Ga 0.000 0.500 0.628 (multiplicity 2)
4 Si 0.500 0.500 0.000 (multiplicity 1)
5 Ni 0.000 0.000 0.500 (multiplicity 1)
6 Ni 0.000 0.500 0.878 (multiplicity 2)
7 Ni 0.500 0.500 0.500 (multiplicity 1)

Formation energy from raw total energies (meV/atom): -599

=====

# 23
Density functional theory data (GGA-PBE) for LiThAgRh after structural relaxation.

Lattice parameters (Å, degrees): 6.913 6.913 6.913 90.00 90.00 90.00
Space group F-43m (No. 216)
Asymmetric unit:
1 Li 0.000 0.000 0.000 (multiplicity 4)
2 Th 0.000 0.000 0.500 (multiplicity 4)
3 Ag 0.250 0.250 0.750 (multiplicity 4)
4 Rh 0.250 0.250 0.250 (multiplicity 4)

DFT formation energy (eV/f.u.): -0.99

=====

# 24
Density functional theory data (GGA-PBE) for SrOs2Pt after structural relaxation.

Lattice parameters (Å, degrees): 2.843 3.685 7.356 90.00 90.00 90.00
Space group Pmm2 (No. 25)
Asymmetric unit:
1 Sr 0.000 0.000 0.000 (multiplicity 1)
2 Os 0.000 0.000 0.483 (multiplicity 1)
3 Os 0.500 0.500 0.334 (multiplicity 1)
4 Pt 0.500 0.500 0.709 (multiplicity 1)

DFT formation energy (eV/f.u.): 1.07

=====

# 25
Density functional theory data (GGA-PBE) for KSnPCl2 after structural relaxation.

Lattice parameters (Å, degrees): 5.559 5.559 5.116 90.00 90.00 90.00
Space group P4/mmm (No. 123)
Asymmetric unit:
1 K 0.000 0.000 0.000 (multiplicity 1)
2 Sn 0.500 0.500 0.500 (multiplicity 1)
3 P 0.500 0.500 0.000 (multiplicity 1)
4 Cl 0.000 0.500 0.500 (multiplicity 2)

Formation energy from raw total energies (meV/atom): -596

=====

# 26
Density functional theory data (GGA-PBE) for ZrSiP2Cl after structural relaxation.

Lattice parameters (Å, degrees): 4.594 4.594 4.450 90.00 90.00 90.00
Space group P4/mmm (No. 123)
Asymmetric unit:
1 Zr 0.000 0.000 0.000 (multiplicity 1)
2 Si 0.500 0.500 0.500 (multiplicity 1)
3 P 0.000 0.500 0.500 (multiplicity 2)
4 Cl 0.500 0.500 0.000 (multiplicity 1)

Formation energy from raw total energies (meV/atom): 173